# 1
DFT (GGA-PBEsol) results for an optimized crystal structure of Na2CuH4O4.

The structure in POSCAR format:
```
Na2CuH4O4
1.0
-4.1756 -4.1716 -2.8466
5.0304 -4.0324 -1.4698
-1.1035 -4.2216 7.8052
Na O H Cu
8 16 16 4
Direct
0.8019 0.9929 0.2479
0.0041 0.2551 0.9991
0.6981 0.4929 0.2479
0.9959 0.7449 0.4991
0.1981 0.0071 0.7479
0.5041 0.2449 0.4991
0.4959 0.7551 0.9991
0.3019 0.5071 0.7479
0.2201 0.4704 0.5064
0.5343 0.8072 0.7193
0.2799 0.9704 0.5064
0.9657 0.3072 0.7193
0.7201 0.0296 0.0064
0.7799 0.5296 0.0064
0.0343 0.6928 0.2193
0.4701 0.7686 0.2769
0.1917 0.9453 0.9944
0.0299 0.2686 0.2769
0.5299 0.2314 0.7769
0.4657 0.1928 0.2193
0.3083 0.4453 0.9944
0.6917 0.5547 0.4944
0.8083 0.0547 0.4944
0.9701 0.7314 0.7769
0.7230 0.5155 0.5975
0.9557 0.5833 0.7563
0.7576 0.9956 0.9035
0.2576 0.5044 0.4035
0.2230 0.9845 0.0975
0.6804 0.7726 0.7377
0.1804 0.7274 0.2377
0.5443 0.0833 0.7563
0.3196 0.2274 0.2377
0.7424 0.4956 0.9035
0.7770 0.0155 0.5975
0.2424 0.0044 0.4035
0.8196 0.2726 0.7377
0.0443 0.4167 0.2563
0.4557 0.9167 0.2563
0.2770 0.4845 0.0975
0.5046 0.2275 0.9992
0.0046 0.2725 0.4992
0.9954 0.7275 0.9992
0.4954 0.7725 0.4992
```

Symmetry ... Pna2_1 (33)
Crystal system ... orthorhombic
Raw total energy ... -4.871 eV per atom

***

# 2
DFT (GGA-PBEsol) results for an optimized crystal structure of Na5CuH2O4.

The structure in POSCAR format:
```
Na5CuH2O4
1.0
5.9911 0.0000 0.0000
0.0000 8.7738 0.0000
0.0000 0.0000 11.8877
O Na Cu H
16 20 4 8
Direct
0.3616 0.5449 0.8286
0.6384 0.0449 0.1714
0.8011 0.7500 0.9104
0.3616 0.9551 0.8286
0.8616 0.5449 0.6714
0.7253 0.7500 0.3788
0.1384 0.4551 0.3286
0.2253 0.7500 0.1212
0.7747 0.2500 0.8788
0.6989 0.2500 0.4104
0.8616 0.9551 0.6714
0.3011 0.7500 0.5896
0.6384 0.4551 0.1714
0.1989 0.2500 0.0896
0.1384 0.0449 0.3286
0.2747 0.2500 0.6212
0.9403 0.7500 0.5423
0.2521 0.9953 0.6398
0.2479 0.4953 0.1398
0.4264 0.2500 0.7968
0.2521 0.5047 0.6398
0.7479 0.4953 0.3602
0.7521 0.9953 0.8602
0.0597 0.2500 0.4577
0.0736 0.7500 0.2968
0.7521 0.5047 0.8602
0.2479 0.0047 0.1398
0.4403 0.7500 0.9577
0.4168 0.2500 0.2720
0.5736 0.7500 0.2032
0.5832 0.7500 0.7280
0.5597 0.2500 0.0423
0.7479 0.0047 0.3602
0.0832 0.7500 0.7720
0.9264 0.2500 0.7032
0.9168 0.2500 0.2280
0.0067 0.2500 0.9757
0.4933 0.7500 0.4757
0.5067 0.2500 0.5243
0.9933 0.7500 0.0243
0.7483 0.0012 0.1193
0.2517 0.9988 0.8807
0.2483 0.0012 0.3807
0.2517 0.5012 0.8807
0.7517 0.5012 0.6193
0.7483 0.4988 0.1193
0.7517 0.9988 0.6193
0.2483 0.4988 0.3807
```

Symmetry ... Pnma (62)
Crystal system ... orthorhombic
Raw total energy ... -4.457 eV per atom

***

# 3
DFT (GGA-PBEsol) results for an optimized crystal structure of Na4CuP6H8O22.

The structure in POSCAR format:
```
Na4CuP6H8O22
1.0
-6.1861 -0.2201 -3.2941
1.1574 -6.5903 -4.0406
-4.5092 -4.5893 5.3127
H O Na P Cu
8 22 4 6 1
Direct
0.9330 0.6086 0.1114
0.2610 0.7485 0.9914
0.7517 0.2157 0.1967
0.0505 0.5921 0.8503
0.9495 0.4079 0.1497
0.7390 0.2515 0.0086
0.0670 0.3914 0.8886
0.2483 0.7843 0.8033
0.9998 0.4859 0.8274
0.2371 0.1943 0.9092
0.4566 0.2797 0.6510
0.7743 0.4141 0.5570
0.2318 0.9100 0.4609
0.1634 0.7874 0.9174
0.5504 0.3233 0.9265
0.4295 0.9786 0.1852
0.5705 0.0214 0.8148
0.1709 0.2039 0.3315
0.2257 0.5859 0.4430
0.9311 0.0653 0.7841
0.7629 0.8057 0.0908
0.0002 0.5141 0.1726
0.4496 0.6767 0.0735
0.7682 0.0900 0.5391
0.8366 0.2126 0.0826
0.0689 0.9347 0.2159
0.5434 0.7203 0.3490
0.4011 0.7104 0.6495
0.5989 0.2896 0.3505
0.8291 0.7961 0.6685
0.6628 0.5786 0.8009
0.3372 0.4214 0.1991
0.8935 0.6709 0.4122
0.1065 0.3291 0.5878
0.2097 0.0178 0.2937
0.3426 0.7167 0.4865
0.5538 0.7888 0.1595
0.4462 0.2112 0.8405
0.7903 0.9822 0.7063
0.6574 0.2833 0.5135
0.0000 0.0000 0.0000
```

Symmetry ... P-1 (2)
Crystal system ... triclinic
Raw total energy ... -6.340 eV per atom

***

# 4
DFT (GGA-PBEsol) results for an optimized crystal structure of NaCu2H3S2O10.

The structure in POSCAR format:
```
NaCu2H3S2O10
1.0
-3.1956 0.6523 -4.2850
-2.9239 -0.6360 4.4772
3.1256 6.3213 1.4627
O Cu S H Na
10 2 2 3 1
Direct
0.0082 0.1851 0.1932
0.4171 0.6560 0.0731
0.4781 0.1765 0.2532
0.0767 0.7752 0.2532
0.3133 0.2148 0.5281
0.9243 0.2231 0.7461
0.9929 0.8134 0.8063
0.5230 0.8217 0.7461
0.5839 0.3420 0.9259
0.6879 0.7835 0.4714
0.5005 0.9990 0.9997
0.0008 0.4992 0.9997
0.2178 0.0890 0.3069
0.7832 0.9093 0.6925
0.5009 0.4983 0.9991
0.5157 0.7128 0.2286
0.4852 0.2852 0.7704
0.0005 0.4992 0.4997
```

Symmetry ... Cm (8)
Crystal system ... monoclinic
Raw total energy ... -5.737 eV per atom

***

# 5
DFT (GGA-PBEsol) results for an optimized crystal structure of Na2Cu2Si4H4O13.

The structure in POSCAR format:
```
Na2Cu2Si4H4O13
1.0
5.2148 0.0113 -0.0158
-1.4355 6.2333 0.0095
-0.5790 -1.9637 8.3729
Cu O Si Na H
2 13 4 2 4
Direct
0.8010 0.1135 0.0706
0.1989 0.8865 0.9294
0.1819 0.7052 0.2688
0.1104 0.1732 0.9566
0.8181 0.2948 0.7312
0.5186 0.0534 0.1982
0.2372 0.5929 0.9169
0.8896 0.8268 0.0434
0.9051 0.7306 0.6025
0.6908 0.7294 0.3021
0.7628 0.4071 0.0831
0.0949 0.2694 0.3975
0.4814 0.9466 0.8018
0.3092 0.2706 0.6979
0.5000 0.0000 0.5000
0.4721 0.8827 0.3117
0.1105 0.3391 0.8346
0.8895 0.6609 0.1654
0.5279 0.1173 0.6883
0.3610 0.3619 0.2053
0.6390 0.6381 0.7947
0.8377 0.7431 0.4949
0.1623 0.2569 0.5051
0.9131 0.2826 0.4054
0.0869 0.7174 0.5946
```

Symmetry ... P-1 (2)
Crystal system ... triclinic
Raw total energy ... -6.528 eV per atom

***

# 6
DFT (GGA-PBEsol) results for an optimized crystal structure of Na2CuHPd.

The structure in POSCAR format:
```
Na2CuHPd
1.0
3.4835 0.0000 0.0000
0.0000 4.7099 0.0000
0.0000 0.0000 4.7099
Na Pd Cu H
2 1 1 1
Direct
0.0000 0.0000 0.5000
0.0000 0.5000 0.0000
0.5000 0.0000 0.0000
0.5000 0.5000 0.5000
0.0000 0.0000 0.0000
```

Symmetry ... P4/mmm (123)
Crystal system ... tetragonal
Raw total energy ... -3.170 eV per atom

***

# 7
DFT (GGA-PBEsol) results for an optimized crystal structure of NaCuHPt2.

The structure in POSCAR format:
```
NaCuHPt2
1.0
-3.1611 0.8566 2.0720
1.8472 -1.0350 3.2460
1.3474 3.8544 0.4622
Pt Na H Cu
2 1 1 1
Direct
0.0000 0.5000 0.0000
0.5000 0.0000 0.0000
0.0000 0.0000 0.5000
0.0000 0.0000 0.0000
0.5000 0.5000 0.5000
```

Symmetry ... P4/mmm (123)
Crystal system ... tetragonal
Raw total energy ... -4.619 eV per atom

***

# 8
DFT (GGA-PBEsol) results for an optimized crystal structure of CuNiH2.

The structure in POSCAR format:
```
CuNiH2
1.0
3.7959 0.0000 0.0000
0.0000 3.7959 0.0000
-1.8980 -1.8980 3.9407
Ni H Cu
2 4 2
Direct
0.7500 0.2500 0.5000
0.5000 0.5000 0.0000
0.3996 0.8750 0.2500
0.1250 0.1496 0.7500
0.8504 0.3750 0.2500
0.6250 0.6004 0.7500
0.2500 0.7500 0.5000
0.0000 0.0000 0.0000
```

Symmetry ... I-42d (122)
Crystal system ... tetragonal
Raw total energy ... -4.261 eV per atom

***

Number 1: V 8.81 Å³/atom. Number 2: V 13.02 Å³/atom. Number 3: V 10.83 Å³/atom. Number 4: V 9.78 Å³/atom. Number 5: V 10.89 Å³/atom. Number 6: V 15.46 Å³/atom. Number 7: V 12.34 Å³/atom. Number 8: V 7.10 Å³/atom.